Record 1
PmPr2Y3 | PBE-GGA | relaxed

abc: 9.0987 9.9935 9.1058
angles: 90.00 101.30 90.00
Last column: nearest neighbours and their distance in Å.
Space group C2/c (No. 15)
Asymmetric unit:
1 Pm 0.0000 0.0851 0.2500  5 Y 3.32-3.51
2 Pr 0.1237 0.2518 0.6258  2 Pr 3.49-3.55, 9 Y 3.74-3.79, 3 Pm 3.76-3.79
3 Y 0.0000 0.4170 0.2500  1 Pm 3.32, 4 Y 3.34-3.53
4 Y 0.2480 0.0830 0.9992  2 Pm 3.32-3.51, 3 Y 3.34-3.53

Output
The energy above the most stable polymorph in this dataset is 0.000 eV per atom. The calculation puts the formation energy at 0.06 eV per atom. The value obtained for the raw total energy is -133.31 eV/cell.

=====

Record 2
Pm3Pr2Y | PBE-GGA | relaxed

abc: 18.2950 3.5037 6.7147
angles: 90.00 102.77 90.00
Last column: nearest neighbours and their distance in Å.
Space group C2/m (No. 12)
Asymmetric unit:
1 Pm 0.0000 0.0000 0.0000  2 Y 3.36, 4 Pm 3.50, 4 Pr 3.76
2 Pm 0.1706 0.0000 0.3603  1 Y 3.45, 5 Pm 3.50-3.55, 5 Pr 3.66-3.82
3 Pr 0.1613 0.5000 0.8499  4 Pr 3.50-3.84, 7 Pm 3.66-3.82, 2 Y 3.77
4 Y 0.0000 0.0000 0.5000  4 Pm 3.36-3.45, 2 Y 3.50

Output
The energy above the most stable polymorph in this dataset is 0.089 eV per atom. The calculation puts the formation energy at 0.14 eV per atom. The value obtained for the raw total energy is -58.82 eV/cell.

=====

Record 3
Pm5Pr3Y | PBE-GGA | relaxed

abc: 11.4370 8.3071 14.0620
angles: 90.00 94.05 90.00
Last column: nearest neighbours and their distance in Å.
Space group C2/m (No. 12)
Asymmetric unit:
1 Pm 0.0000 0.1746 0.0000  1 Pr 2.70, 1 Pm 2.90
2 Pm 0.0108 0.0000 0.2561  3 Pm 3.35-3.59, 2 Pr 3.61-3.72
3 Pm 0.2265 0.2841 0.6688  3 Pr 3.38-3.51, 2 Pm 3.59, 1 Y 3.68
4 Pm 0.2422 0.0000 0.8800  1 Y 3.29, 2 Pr 3.29-3.32, 3 Pm 3.35-3.65
5 Pr 0.0000 0.5000 0.0000  2 Pm 2.70
6 Pr 0.0000 0.5000 0.5000  2 Y 3.58, 4 Pm 3.83
7 Pr 0.1422 0.0000 0.5061  1 Pr 3.25, 4 Pm 3.38-3.47
8 Pr 0.2362 0.5000 0.8834  1 Pr 3.26, 6 Pm 3.32-3.63, 1 Y 3.43
9 Y 0.0280 0.5000 0.2482  3 Pm 3.29-3.68, 3 Pr 3.43-3.58

Output
The calculation puts the formation energy at 0.33 eV per atom. The value obtained for the raw total energy is -166.20 eV/cell.

=====

Record 4
PmPrY | PBE-GGA | relaxed

abc: 3.6530 3.6530 15.4622
angles: 90.00 90.00 90.00
Last column: nearest neighbours and their distance in Å.
Space group I4mm (No. 107)
Asymmetric unit:
1 Pm 0.0000 0.0000 0.0000  4 Y 3.63, 4 Pm 3.65, 4 Pr 3.67
2 Pr 0.0000 0.0000 0.3315  4 Y 3.65, 4 Pr 3.65, 4 Pm 3.67
3 Y 0.0000 0.0000 0.6645  4 Pm 3.63, 4 Pr 3.65, 4 Y 3.65

Output
The energy above the most stable polymorph in this dataset is 0.005 eV per atom. The calculation puts the formation energy at 0.02 eV per atom. The value obtained for the raw total energy is -31.87 eV/cell.

=====

Record 5
Pm5Pr3Y4 | PBE-GGA | relaxed

abc: 16.3106 6.0583 9.4211
angles: 90.00 116.37 90.00
Last column: nearest neighbours and their distance in Å.
Space group C2/m (No. 12)
Asymmetric unit:
1 Pm 0.0000 0.0000 0.0000  4 Pr 3.03-3.12
2 Pm 0.0756 0.5000 0.6985  2 Pr 3.27-3.56, 1 Pm 3.45
3 Pm 0.1725 0.5000 0.3849  4 Pr 3.26-3.52, 3 Y 3.52-3.60
4 Pr 0.0000 0.5000 0.0000  2 Pm 3.03
5 Pr 0.2089 0.0000 0.2303  3 Pm 3.12-3.27, 2 Y 3.34-3.45
6 Y 0.0811 0.0000 0.4401  2 Y 3.31-3.69, 1 Pr 3.45, 3 Pm 3.52-3.60
7 Y 0.2099 0.0000 0.8764  3 Pr 3.34-3.62, 3 Pm 3.68-3.73, 3 Y 3.69

Output
The energy above the most stable polymorph in this dataset is 0.197 eV per atom. The calculation puts the formation energy at 0.21 eV per atom. The value obtained for the raw total energy is -122.86 eV/cell.

=====

Record 6
Pm6PrY | PBE-GGA | relaxed

abc: 7.3050 7.3050 5.1554
angles: 90.00 90.00 90.00
Last column: nearest neighbours and their distance in Å.
Space group P4/mmm (No. 123)
Asymmetric unit:
1 Pm 0.0000 0.5000 0.0000  8 Pm 3.65, 2 Pr 3.65, 2 Y 3.65
2 Pm 0.2485 0.2485 0.5000  8 Pm 3.63-3.67, 2 Y 3.64, 2 Pr 3.66
3 Pr 0.5000 0.5000 0.0000  12 Pm 3.65-3.66
4 Y 0.0000 0.0000 0.0000  12 Pm 3.64-3.65

Output
The energy above the most stable polymorph in this dataset is 0.000 eV per atom. The calculation puts the formation energy at 0.01 eV per atom. The value obtained for the raw total energy is -39.65 eV/cell.

=====

Record 7
PmPrY5 | PBE-GGA | relaxed

abc: 8.8876 9.7570 11.6650
angles: 90.00 111.16 90.00
Last column: nearest neighbours and their distance in Å.
Space group C2/c (No. 15)
Asymmetric unit:
1 Pm 0.2500 0.2500 0.0000  6 Y 3.35-3.62
2 Pr 0.0000 0.2423 0.2500  9 Y 3.39-3.63
3 Y 0.0000 0.4105 0.7500  2 Pm 3.35, 8 Y 3.36-3.74, 1 Pr 3.39
4 Y 0.1218 0.0704 0.6632  6 Y 3.46-3.74, 2 Pr 3.51-3.63, 1 Pm 3.62
5 Y 0.1702 0.3995 0.5360  7 Y 3.36-3.72, 2 Pr 3.39-3.48, 1 Pm 3.55

Output
The energy above the most stable polymorph in this dataset is 0.000 eV per atom. The calculation puts the formation energy at 0.10 eV per atom. The value obtained for the raw total energy is -164.70 eV/cell.

=====

Record 8
Pm5Pr4Y | PBE-GGA | relaxed

abc: 10.8968 10.8968 5.8875
angles: 90.00 90.00 90.00
Last column: nearest neighbours and their distance in Å.
Space group P4/nmm (No. 129, origin choice 2)
Asymmetric unit:
1 Pm 0.0883 0.0883 0.1646  3 Pm 3.34-3.52, 2 Pr 3.58
2 Pm 0.2500 0.7500 0.0000  4 Pr 3.11
3 Pr 0.0451 0.7500 0.3681  1 Pm 3.11, 1 Y 3.22
4 Y 0.2500 0.2500 0.6399  4 Pr 3.22

Output
The energy above the most stable polymorph in this dataset is 0.161 eV per atom. The calculation puts the formation energy at 0.17 eV per atom. The value obtained for the raw total energy is -95.20 eV/cell.

=====

Record 9
PmPr12Y5 | PBE-GGA | relaxed

abc: 15.5424 15.6107 5.2054
angles: 90.00 90.00 90.00
Last column: nearest neighbours and their distance in Å.
Space group Cmmm (No. 65)
Asymmetric unit:
1 Pm 0.0000 0.0000 0.0000  8 Pr 3.66, 4 Y 3.69
2 Pr 0.1651 0.5000 0.0000  4 Y 3.65-3.66, 8 Pr 3.68-3.70
3 Pr 0.1659 0.0000 0.5000  2 Pm 3.66, 2 Y 3.67, 8 Pr 3.68-3.70
4 Pr 0.1657 0.1669 0.0000  3 Y 3.66, 1 Pm 3.66, 8 Pr 3.68-3.70
5 Pr 0.1656 0.3336 0.5000  4 Y 3.66, 8 Pr 3.68-3.70
6 Y 0.0000 0.1673 0.5000  8 Pr 3.66-3.67, 2 Y 3.67, 2 Pm 3.69
7 Y 0.0000 0.3334 0.0000  8 Pr 3.65-3.66, 4 Y 3.67-3.68
8 Y 0.0000 0.5000 0.5000  8 Pr 3.66, 4 Y 3.68

Output
The calculation puts the formation energy at 0.02 eV per atom. The value obtained for the raw total energy is -188.24 eV/cell.

=====

Record 10
Pm5Pr6Y | PBE-GGA | relaxed

abc: 6.3825 11.0584 12.1560
angles: 90.00 100.11 90.00
Last column: nearest neighbours and their distance in Å.
Space group C2/m (No. 12)
Asymmetric unit:
1 Pm 0.0000 0.0000 0.0000  6 Pr 3.68, 6 Pm 3.69
2 Pm 0.0000 0.1667 0.5000  6 Pr 3.66-3.67, 3 Pm 3.68-3.69, 3 Y 3.69
3 Pm 0.0000 0.3334 0.0000  6 Pr 3.68, 6 Pm 3.69
4 Pr 0.2497 0.0000 0.7496  5 Pm 3.67-3.68, 1 Y 3.67, 6 Pr 3.68-3.69
5 Pr 0.2504 0.1667 0.2508  5 Pm 3.66-3.68, 1 Y 3.66, 6 Pr 3.68-3.69
6 Y 0.0000 0.5000 0.5000  6 Pr 3.66-3.67, 6 Pm 3.69

Output
The calculation puts the formation energy at 0.01 eV per atom. The value obtained for the raw total energy is -117.53 eV/cell.

=====

Record 11
PmPr4Y7 | PBE-GGA | relaxed

abc: 6.6431 6.9382 9.1931
angles: 85.13 77.17 81.82
Last column: nearest neighbours and their distance in Å.
Space group P-1 (No. 2)
Asymmetric unit:
1 Pm 0.0000 0.0000 0.0000  2 Pr 3.42, 4 Y 3.47-3.53
2 Pr 0.1651 0.6156 0.3069  8 Y 3.44-3.83, 2 Pr 3.59-3.61
3 Pr 0.3593 0.1831 0.7156  8 Y 3.39-3.75, 1 Pm 3.42, 2 Pr 3.59-3.61
4 Y 0.0000 0.5000 0.0000  4 Pr 3.44-3.75, 2 Pm 3.47, 4 Y 3.56-3.78
5 Y 0.1826 0.1081 0.3797  4 Y 3.33-3.70, 4 Pr 3.39-3.64
6 Y 0.3257 0.6899 0.6396  5 Y 3.45-3.78, 5 Pr 3.51-3.83
7 Y 0.4898 0.2494 0.0473  5 Y 3.43-3.62, 4 Pr 3.43-3.74, 1 Pm 3.53

Output
The energy above the most stable polymorph in this dataset is 0.000 eV per atom. The calculation puts the formation energy at 0.08 eV per atom. The value obtained for the raw total energy is -68.17 eV/cell.

=====

Record 12
Pm2Pr4Y | PBE-GGA | relaxed

abc: 3.6967 3.6967 62.4248
angles: 90.00 90.00 120.00
Last column: nearest neighbours and their distance in Å.
Space group R-3m (No. 166, hexagonal axes)
Asymmetric unit:
1 Pm 0.0000 0.0000 0.1904  3 Pr 3.65, 9 Pm 3.65-3.70
2 Pr 0.0000 0.0000 0.0956  3 Pm 3.65, 9 Pr 3.70
3 Pr 0.0000 0.0000 0.3805  3 Y 3.63, 9 Pr 3.70
4 Y 0.0000 0.0000 0.0000  6 Pr 3.63, 6 Y 3.70

Output
The calculation puts the formation energy at 0.01 eV per atom. The value obtained for the raw total energy is -105.09 eV/cell.

=====

Record 13
Pm3PrY4 | PBE-GGA | relaxed

abc: 6.2752 3.6302 11.9160
angles: 90.00 100.21 90.00
Last column: nearest neighbours and their distance in Å.
Space group P2/m (No. 10)
Asymmetric unit:
1 Pm 0.0000 0.0000 0.0000  6 Y 3.61, 4 Pr 3.62, 2 Pm 3.63
2 Pm 0.0000 0.5000 0.5000  6 Y 3.59-3.60, 6 Pm 3.62-3.63
3 Pm 0.5000 0.0000 0.5000  6 Y 3.60, 6 Pm 3.62-3.63
4 Pr 0.5000 0.5000 0.0000  6 Y 3.61, 4 Pm 3.62, 2 Pr 3.63
5 Y 0.2494 0.0000 0.7491  4 Pm 3.59-3.61, 2 Pr 3.61, 6 Y 3.62-3.63
6 Y 0.2501 0.5000 0.2507  5 Pm 3.60-3.61, 1 Pr 3.61, 6 Y 3.62-3.63

Output
The energy above the most stable polymorph in this dataset is 0.000 eV per atom. The calculation puts the formation energy at 0.01 eV per atom. The value obtained for the raw total energy is -44.79 eV/cell.

=====

Record 14
Pm6PrY8 | PBE-GGA | relaxed

abc: 9.1514 9.1514 21.0180
angles: 90.00 90.00 120.00
Last column: nearest neighbours and their distance in Å.
Space group R-3 (No. 148, hexagonal axes)
Asymmetric unit:
1 Pm 0.0605 0.8138 0.2095  4 Y 3.42-3.75, 1 Pr 3.50, 4 Pm 3.53-3.83
2 Pr 0.0000 0.0000 0.5000  6 Pm 3.50, 6 Y 3.58
3 Y 0.0000 0.0000 0.0770  4 Y 3.24-3.46, 3 Pm 3.45
4 Y 0.0805 0.5237 0.3078  3 Pm 3.42-3.75, 5 Y 3.45-3.48, 1 Pr 3.58

Output
The calculation puts the formation energy at 0.12 eV per atom. The value obtained for the raw total energy is -249.46 eV/cell.

=====

Record 15
PmPr7Y4 | PBE-GGA | relaxed

abc: 16.3985 6.0836 9.5441
angles: 90.00 116.62 90.00
Last column: nearest neighbours and their distance in Å.
Space group C2/m (No. 12)
Asymmetric unit:
1 Pm 0.0000 0.0000 0.0000  4 Pr 3.04-3.17
2 Pr 0.0000 0.5000 0.0000  2 Pm 3.04
3 Pr 0.0852 0.0000 0.4487  3 Pr 3.35-3.72, 3 Y 3.51-3.60
4 Pr 0.2111 0.0000 0.2349  1 Pm 3.17, 2 Y 3.26-3.33, 2 Pr 3.37-3.49
5 Pr 0.2133 0.0000 0.8836  6 Pr 3.37-3.72, 2 Y 3.75
6 Y 0.0716 0.5000 0.6989  2 Pr 3.33-3.56, 2 Y 3.46-3.67
7 Y 0.1700 0.5000 0.3849  7 Pr 3.26-3.60

Output
The energy above the most stable polymorph in this dataset is 0.063 eV per atom. The calculation puts the formation energy at 0.20 eV per atom. The value obtained for the raw total energy is -123.43 eV/cell.

=====

Record 16
Pm8PrY5 | PBE-GGA | relaxed

abc: 9.6673 9.6673 10.4276
angles: 90.00 90.00 90.00
Last column: nearest neighbours and their distance in Å.
Space group I-4 (No. 82)
Asymmetric unit:
1 Pm 0.0689 0.1729 0.3517  5 Y 3.40-3.62, 3 Pm 3.60-3.64
2 Pm 0.0909 0.3225 0.0018  5 Y 3.23-3.59, 1 Pr 3.24
3 Pr 0.0000 0.0000 0.0000  4 Pm 3.24
4 Y 0.0000 0.5000 0.2500  8 Pm 3.23-3.40
5 Y 0.1124 0.2957 0.6769  8 Pm 3.40-3.62, 2 Y 3.53

Output
The calculation puts the formation energy at 0.24 eV per atom. The value obtained for the raw total energy is -143.44 eV/cell.

=====

Record 17
Pm3Pr2Y5 | PBE-GGA | relaxed

abc: 9.4750 22.0782 6.9204
angles: 90.00 90.00 90.00
Last column: nearest neighbours and their distance in Å.
Space group Ibam (No. 72)
Asymmetric unit:
1 Pm 0.0000 0.0000 0.2500  4 Pr 3.34, 2 Pm 3.46
2 Pm 0.2478 0.3714 0.0000  1 Y 3.18, 1 Pr 3.37
3 Pr 0.1030 0.1216 0.0000  1 Y 2.93
4 Y 0.0000 0.2480 0.2500  4 Y 3.35-3.46, 2 Pr 3.43
5 Y 0.0000 0.5000 0.2500  6 Y 3.41-3.46
6 Y 0.0876 0.3724 0.5000  1 Pr 2.93, 1 Pm 3.18

Output
The energy above the most stable polymorph in this dataset is 0.221 eV per atom. The calculation puts the formation energy at 0.39 eV per atom. The value obtained for the raw total energy is -208.90 eV/cell.

=====

Record 18
Pm4Pr3Y5 | PBE-GGA | relaxed

abc: 6.2939 7.2630 8.8977
angles: 90.07 90.18 90.19
Last column: nearest neighbours and their distance in Å.
Space group P-1 (No. 2)
Asymmetric unit:
1 Pm 0.1682 0.9997 0.1671  5 Y 3.62-3.64, 3 Pr 3.62-3.65, 4 Pm 3.63-3.65
2 Pm 0.3320 0.2492 0.8320  5 Y 3.61-3.66, 3 Pm 3.63-3.64, 4 Pr 3.63-3.65
3 Pr 0.3330 0.7500 0.8325  6 Pm 3.62-3.65, 5 Y 3.62-3.65, 1 Pr 3.63
4 Pr 0.5000 0.5000 0.5000  8 Y 3.62-3.64, 2 Pr 3.63, 2 Pm 3.63
5 Y 0.0007 0.2502 0.5001  3 Pm 3.61-3.64, 6 Y 3.62-3.64, 3 Pr 3.62-3.64
6 Y 0.1664 0.5001 0.1684  4 Pr 3.62-3.65, 3 Y 3.62-3.65, 5 Pm 3.63-3.66
7 Y 0.5000 0.0000 0.5000  4 Pm 3.62, 4 Pr 3.63, 4 Y 3.63-3.64

Output
The energy above the most stable polymorph in this dataset is 0.000 eV per atom. The calculation puts the formation energy at 0.01 eV per atom. The value obtained for the raw total energy is -65.49 eV/cell.

=====

Record 19
Pm2Pr3Y2 | PBE-GGA | relaxed

abc: 3.5949 5.6894 23.7519
angles: 90.00 90.00 90.00
Last column: nearest neighbours and their distance in Å.
Space group Immm (No. 71)
Asymmetric unit:
1 Pm 0.0000 0.0000 0.0779  3 Pm 3.59-3.70, 4 Y 3.70, 6 Pr 3.84-3.87
2 Pr 0.0000 0.0000 0.5000  2 Y 3.39, 2 Pr 3.59
3 Pr 0.0000 0.5000 0.2775  4 Y 3.42-3.67, 6 Pr 3.59-3.61
4 Y 0.0000 0.0000 0.3571  5 Pr 3.39-3.67, 2 Y 3.59, 4 Pm 3.70

Output
The energy above the most stable polymorph in this dataset is 0.000 eV per atom. The calculation puts the formation energy at 0.05 eV per atom. The value obtained for the raw total energy is -72.85 eV/cell.

=====

Record 20
PmPr4Y4 | PBE-GGA | relaxed

abc: 10.9398 10.9398 5.1457
angles: 90.00 90.00 90.00
Last column: nearest neighbours and their distance in Å.
Space group I4/mmm (No. 139)
Asymmetric unit:
1 Pm 0.0000 0.0000 0.0000  4 Pr 3.62, 8 Y 3.64
2 Pr 0.0000 0.3312 0.0000  1 Pm 3.62, 6 Y 3.63-3.65, 5 Pr 3.67-3.69
3 Y 0.1661 0.1661 0.5000  6 Pr 3.63-3.65, 4 Y 3.63-3.66, 2 Pm 3.64

Output
The calculation puts the formation energy at 0.02 eV per atom. The value obtained for the raw total energy is -99.17 eV/cell.

=====

Record 21
Pm2PrY | PBE-GGA | relaxed

abc: 5.1505 5.1505 5.1705
angles: 90.00 90.00 90.00
Last column: nearest neighbours and their distance in Å.
Space group P4/mmm (No. 123)
Asymmetric unit:
1 Pm 0.0000 0.5000 0.0000  4 Pm 3.64, 4 Pr 3.65, 4 Y 3.65
2 Pr 0.0000 0.0000 0.5000  4 Y 3.64, 8 Pm 3.65
3 Y 0.5000 0.5000 0.5000  4 Pr 3.64, 8 Pm 3.65

Output
The energy above the most stable polymorph in this dataset is 0.005 eV per atom. The calculation puts the formation energy at 0.01 eV per atom. The value obtained for the raw total energy is -20.69 eV/cell.